1.
This record from Alexandria via LeMat-Bulk describes a relaxed structure of MgScCr2Cl. The functional is PBE.

POSCAR file:
```
MgScCr2Cl
1.0
4.4119 0.0000 0.0000
0.0000 4.4119 0.0000
0.0000 0.0000 4.7708
Mg Sc Cr Cl
1 1 2 1
Direct
0.0000 0.0000 0.0000
0.5000 0.5000 0.0000
0.0000 0.5000 0.5000
0.5000 0.0000 0.5000
0.0000 0.0000 0.5000
```

Its crystal system is tetragonal. The formation energy (no corrections) is 0.58 eV/atom.



2.
This record from Alexandria via LeMat-Bulk describes a relaxed structure of Sr2AgHg3Pd4. The functional is PBE.

POSCAR file:
```
Sr2AgHg3Pd4
1.0
4.3055 0.0000 0.0000
0.0000 4.3055 0.0000
0.0000 0.0000 12.4830
Sr Ag Hg Pd
2 1 3 4
Direct
0.0000 0.5000 0.2410
0.5000 0.0000 0.7590
0.5000 0.5000 0.0000
0.0000 0.0000 0.0000
0.0000 0.5000 0.6388
0.5000 0.0000 0.3612
0.0000 0.0000 0.5000
0.0000 0.5000 0.8546
0.5000 0.0000 0.1454
0.5000 0.5000 0.5000
```

Its crystal system is tetragonal. The value obtained for the formation energy from the elements is -398 meV per atom.



3.
This record from Alexandria via LeMat-Bulk describes a relaxed structure of Sc2BeTlB. The functional is PBE.

POSCAR file:
```
Sc2BeTlB
1.0
4.8148 0.0000 0.0000
0.0000 4.8148 0.0000
0.0000 0.0000 3.7485
Sc Be Tl B
2 1 1 1
Direct
0.0000 0.5000 0.0000
0.5000 0.0000 0.0000
0.0000 0.0000 0.5000
0.5000 0.5000 0.5000
0.0000 0.0000 0.0000
```

Its crystal system is tetragonal. The value obtained for the formation energy from the elements is -157 meV per atom.



4.
This record from Alexandria via LeMat-Bulk describes a relaxed structure of BeTlH2. The functional is PBE.

POSCAR file:
```
BeTlH2
1.0
4.8286 0.0000 0.0000
0.0000 4.8286 0.0000
0.0000 0.0000 8.3251
Be Tl H
4 4 8
Direct
0.0000 0.2500 0.3750
0.0000 0.7500 0.6250
0.5000 0.2500 0.1250
0.5000 0.7500 0.8750
0.0000 0.2500 0.8750
0.0000 0.7500 0.1250
0.5000 0.2500 0.6250
0.5000 0.7500 0.3750
0.0000 0.0000 0.5000
0.0000 0.5000 0.5000
0.2500 0.2500 0.2500
0.2500 0.7500 0.7500
0.5000 0.0000 0.0000
0.5000 0.5000 0.0000
0.7500 0.2500 0.2500
0.7500 0.7500 0.7500
```

Its crystal system is tetragonal. The calculation puts the energy above the most stable polymorph in this dataset at 0.0 meV per atom.



5.
This record from Alexandria via LeMat-Bulk describes a relaxed structure of KSr4Hg. The functional is PBE.

POSCAR file:
```
KSr4Hg
1.0
0.0000 5.6221 5.6221
5.6221 0.0000 5.6221
5.6221 5.6221 0.0000
K Sr Hg
1 4 1
Direct
0.0000 0.0000 0.0000
0.1249 0.6250 0.6250
0.6250 0.1249 0.6250
0.6250 0.6250 0.1249
0.6250 0.6250 0.6250
0.2500 0.2500 0.2500
```

Its crystal system is cubic. The value obtained for the formation energy from the elements is 232 meV per atom.



6.
This record from Alexandria via LeMat-Bulk describes a relaxed structure of La4Sm2HoMg. The functional is PBE.

POSCAR file:
```
La4Sm2HoMg
1.0
5.1631 0.0000 0.0000
0.0000 5.1631 0.0000
0.0000 0.0000 10.1308
La Sm Ho Mg
4 2 1 1
Direct
0.0000 0.5000 0.2465
0.0000 0.5000 0.7535
0.5000 0.0000 0.2465
0.5000 0.0000 0.7535
0.0000 0.0000 0.0000
0.5000 0.5000 0.5000
0.0000 0.0000 0.5000
0.5000 0.5000 0.0000
```

Its crystal system is tetragonal. The value obtained for the formation energy from the elements is 2 meV per atom.



7.
This record from Alexandria via LeMat-Bulk describes a relaxed structure of ZrTeN. The functional is PBE.

POSCAR file:
```
ZrTeN
1.0
3.4333 0.0000 0.0000
0.0000 4.2070 0.0000
0.0000 0.0000 10.7292
Zr Te N
2 2 2
Direct
0.2500 0.2500 0.0840
0.7500 0.7500 0.9160
0.2500 0.7500 0.6789
0.7500 0.2500 0.3211
0.2500 0.7500 0.0315
0.7500 0.2500 0.9685
```

Its crystal system is orthorhombic. The formation energy (no corrections) is -1.04 eV/atom.



8.
This record from Alexandria via LeMat-Bulk describes a relaxed structure of ReTc3Ge. The functional is PBE.

POSCAR file:
```
ReTc3Ge
1.0
4.4296 0.0000 0.0000
0.0000 4.4296 0.0000
0.0000 0.0000 4.4296
Re Tc Ge
1 3 1
Direct
0.0000 0.0000 0.0000
0.0000 0.5000 0.5000
0.5000 0.0000 0.5000
0.5000 0.5000 0.0000
0.5000 0.5000 0.5000
```

Its crystal system is cubic. The value obtained for the formation energy from the elements is 1518 meV per atom. The calculation puts the energy above the most stable polymorph in this dataset at 1502.2 meV per atom.



9.
This record from Alexandria via LeMat-Bulk describes a relaxed structure of YTlPt2. The functional is PBE.

POSCAR file:
```
YTlPt2
1.0
4.2314 0.0000 0.0000
0.0000 4.2314 0.0000
0.0000 0.0000 8.9681
Y Tl Pt
2 2 4
Direct
0.0000 0.0000 0.0000
0.5000 0.5000 0.5000
0.0000 0.5000 0.7500
0.5000 0.0000 0.2500
0.0000 0.0000 0.5000
0.0000 0.5000 0.2500
0.5000 0.0000 0.7500
0.5000 0.5000 0.0000
```

Its crystal system is tetragonal. The value obtained for the formation energy from the elements is -640 meV per atom.



10.
This record from Alexandria via LeMat-Bulk describes a relaxed structure of LaCoOs. The functional is PBE.

POSCAR file:
```
LaCoOs
1.0
6.2952 0.0000 0.0000
0.0000 6.2952 0.0000
0.0000 0.0000 6.2952
La Co Os
4 4 4
Direct
0.0000 0.0000 0.0000
0.0000 0.5000 0.5000
0.5000 0.0000 0.5000
0.5000 0.5000 0.0000
0.2500 0.2500 0.2500
0.2500 0.7500 0.7500
0.7500 0.2500 0.7500
0.7500 0.7500 0.2500
0.0000 0.0000 0.5000
0.0000 0.5000 0.0000
0.5000 0.0000 0.0000
0.5000 0.5000 0.5000
```

Its crystal system is cubic. The value obtained for the formation energy from the elements is 552 meV per atom. The calculation puts the energy above the most stable polymorph in this dataset at 629.6 meV per atom.



11.
This record from Alexandria via LeMat-Bulk describes a relaxed structure of Nd3Cd4Sn2. The functional is PBE.

POSCAR file:
```
Nd3Cd4Sn2
1.0
5.8530 -2.4050 0.0000
5.8530 2.4050 0.0000
-3.5693 0.0000 8.6731
Nd Cd Sn
3 4 2
Direct
0.0000 0.0000 0.0000
0.3225 0.3225 0.3494
0.6775 0.6775 0.6506
0.0113 0.0113 0.3546
0.2498 0.2498 0.9226
0.7502 0.7502 0.0774
0.9887 0.9887 0.6454
0.3888 0.3888 0.7247
0.6112 0.6112 0.2753
```

Its crystal system is monoclinic. The value obtained for the formation energy from the elements is -496 meV per atom.



12.
This record from Alexandria via LeMat-Bulk describes a relaxed structure of SiPb4. The functional is PBE.

POSCAR file:
```
SiPb4
1.0
5.4593 0.0000 0.0000
0.0000 5.4593 0.0000
0.0000 0.0000 5.4593
Si Pb
1 4
Direct
0.0000 0.0000 0.0000
0.0000 0.0000 0.5000
0.0000 0.5000 0.0000
0.5000 0.0000 0.0000
0.5000 0.5000 0.5000
```

Its crystal system is cubic. The formation energy (no corrections) is 0.43 eV/atom. The calculation puts the energy above the most stable polymorph in this dataset at 232.4 meV per atom.



13.
This record from Alexandria via LeMat-Bulk describes a relaxed structure of LiGdTmAg. The functional is PBE.

POSCAR file:
```
LiGdTmAg
1.0
7.2850 0.0000 0.0000
0.0000 7.2850 0.0000
0.0000 0.0000 7.2850
Li Gd Tm Ag
4 4 4 4
Direct
0.0000 0.0000 0.0000
0.0000 0.5000 0.5000
0.5000 0.0000 0.5000
0.5000 0.5000 0.0000
0.2500 0.2500 0.7500
0.2500 0.7500 0.2500
0.7500 0.2500 0.2500
0.7500 0.7500 0.7500
0.2500 0.2500 0.2500
0.2500 0.7500 0.7500
0.7500 0.2500 0.7500
0.7500 0.7500 0.2500
0.0000 0.0000 0.5000
0.0000 0.5000 0.0000
0.5000 0.0000 0.0000
0.5000 0.5000 0.5000
```

Its crystal system is cubic. The value obtained for the formation energy from the elements is -96 meV per atom.



14.
This record from Alexandria via LeMat-Bulk describes a relaxed structure of CuAg7. The functional is PBE.

POSCAR file:
```
CuAg7
1.0
0.0000 4.1131 4.1131
4.1131 0.0000 4.1131
4.1131 4.1131 0.0000
Cu Ag
1 7
Direct
0.0000 0.0000 0.0000
0.0000 0.0000 0.5000
0.0000 0.5000 0.0000
0.0000 0.5000 0.5000
0.5000 0.0000 0.0000
0.5000 0.0000 0.5000
0.5000 0.5000 0.0000
0.5000 0.5000 0.5000
```

Its crystal system is cubic. The value obtained for the formation energy from the elements is 80 meV per atom.



15.
This record from Alexandria via LeMat-Bulk describes a relaxed structure of LiCdBr2. The functional is PBE.

POSCAR file:
```
LiCdBr2
1.0
3.9737 0.0000 0.0000
0.0000 7.2892 0.0000
0.0000 0.0000 8.0268
Li Cd Br
2 2 4
Direct
0.0000 0.0000 0.0000
0.5000 0.5000 0.5000
0.0000 0.0000 0.5000
0.5000 0.5000 0.0000
0.0000 0.5000 0.2827
0.0000 0.5000 0.7173
0.5000 0.0000 0.2173
0.5000 0.0000 0.7827
```

Its crystal system is orthorhombic. The formation energy (no corrections) is -0.74 eV/atom. The calculation puts the energy above the most stable polymorph in this dataset at 116.5 meV per atom.



16.
This record from Alexandria via LeMat-Bulk describes a relaxed structure of MgCuN3. The functional is PBE.

POSCAR file:
```
MgCuN3
1.0
3.7484 0.0000 0.0000
0.0000 3.7484 0.0000
0.0000 0.0000 3.7484
Mg Cu N
1 1 3
Direct
0.0000 0.0000 0.0000
0.5000 0.5000 0.5000
0.0000 0.5000 0.5000
0.5000 0.0000 0.5000
0.5000 0.5000 0.0000
```

Its crystal system is cubic. The formation energy (no corrections) is 1.49 eV/atom.



17.
This record from Alexandria via LeMat-Bulk describes a relaxed structure of P4OsRu. The functional is PBE.

POSCAR file:
```
P4OsRu
1.0
0.0000 3.4376 3.4376
3.4376 0.0000 3.4376
3.4376 3.4376 0.0000
P Os Ru
4 1 1
Direct
0.1250 0.1250 0.1250
0.1250 0.1250 0.6250
0.1250 0.6250 0.1250
0.6250 0.1250 0.1250
0.5000 0.5000 0.5000
0.7500 0.7500 0.7500
```

Its crystal system is cubic. The value obtained for the formation energy from the elements is 961 meV per atom.



18.
This record from Alexandria via LeMat-Bulk describes a relaxed structure of Sr4SiSb. The functional is PBE.

POSCAR file:
```
Sr4SiSb
1.0
0.0000 4.7620 4.7620
4.7620 0.0000 4.7620
4.7620 4.7620 0.0000
Sr Si Sb
4 1 1
Direct
0.1249 0.1249 0.1249
0.1249 0.1249 0.6254
0.1249 0.6254 0.1249
0.6254 0.1249 0.1249
0.5000 0.5000 0.5000
0.7500 0.7500 0.7500
```

Its crystal system is cubic. The formation energy (no corrections) is 0.40 eV/atom.



19.
This record from Alexandria via LeMat-Bulk describes a relaxed structure of NdHIr. The functional is PBE.

POSCAR file:
```
NdHIr
1.0
3.9728 0.0000 0.0000
-1.9864 3.4405 0.0000
0.0000 0.0000 3.7050
Nd H Ir
1 1 1
Direct
0.0000 0.0000 0.0000
0.3333 0.6667 0.5000
0.6667 0.3333 0.5000
```

Its crystal system is hexagonal. The calculation puts the energy above the most stable polymorph in this dataset at 124.1 meV per atom.



20.
This record from Alexandria via LeMat-Bulk describes a relaxed structure of Ce2B6Ir9. The functional is PBE.

POSCAR file:
```
Ce2B6Ir9
1.0
5.6777 0.0000 0.0000
-2.8389 4.9171 0.0000
0.0000 0.0000 8.6445
Ce B Ir
2 6 9
Direct
0.0000 0.0000 0.1987
0.0000 0.0000 0.8013
0.3333 0.6667 0.1678
0.3333 0.6667 0.5000
0.3333 0.6667 0.8322
0.6667 0.3333 0.1678
0.6667 0.3333 0.5000
0.6667 0.3333 0.8322
0.0000 0.5000 0.0000
0.0000 0.5000 0.3366
0.0000 0.5000 0.6634
0.5000 0.0000 0.0000
0.5000 0.0000 0.3366
0.5000 0.0000 0.6634
0.5000 0.5000 0.0000
0.5000 0.5000 0.3366
0.5000 0.5000 0.6634
```

Its crystal system is hexagonal. The value obtained for the formation energy from the elements is -581 meV per atom.



no.,electronic total energy (eV/atom)
1,-5.23
2,-3.19
3,-5.24
4,-2.88
5,-1.12
6,-4.41
7,-7.71
8,-8.11
9,-5.87
10,-7.20
11,-3.38
12,-3.62
13,-5.93
14,-2.93
15,-2.29
16,-4.64
17,-6.06
18,-2.31
19,-5.82
20,-8.33